Record 1
Entry from the Alexandria database: a relaxed Pm6Sm2TmTh crystal (PBE).

The formation energy is 14.1 kJ/mol of atoms. The value obtained for the density of states at the Fermi level is 57.2 states/eV per cell. For the spin magnetization, the calculation gives 0.00 μB per formula unit.

a b c (Å): 9.2456 15.0462 9.8775
angles (deg): 90.00 99.06 90.00
Space group C2/c (No. 15)
Asymmetric unit:
Pm 0.0689 0.1819 0.4444 x8
Pm 0.0975 0.3956 0.6200 x8
Pm 0.2054 0.2182 0.8118 x8
Sm 0.2435 0.0462 0.0470 x8
Tm 0.0000 0.4070 0.2500 x4
Th 0.0000 0.0213 0.7500 x4

***

Record 2
Entry from the Alexandria database: a relaxed Pm2Sm2Tm4Th crystal (PBE).

The formation energy is 0.0 kJ/mol of atoms. The value obtained for the density of states at the Fermi level is 25.0 states/eV per cell. For the spin magnetization, the calculation gives 0.00 μB per formula unit.

a b c (Å): 18.6879 3.6003 9.5475
angles (deg): 90.00 116.04 90.00
Space group C2/m (No. 12)
Asymmetric unit:
Pm 0.1637 0.0000 0.0070 x4
Sm 0.1466 0.5000 0.6628 x4
Tm 0.0191 0.0000 0.3279 x4
Tm 0.1837 0.5000 0.3365 x4
Th 0.0000 0.5000 0.0000 x2

***

Record 3
Entry from the Alexandria database: a relaxed Pm6Sm3Tm2Th crystal (PBE).

The formation energy is 2.8 kJ/mol of atoms. The value obtained for the density of states at the Fermi level is 33.6 states/eV per cell. For the spin magnetization, the calculation gives 0.00 μB per formula unit.

a b c (Å): 6.2559 10.8179 12.0133
angles (deg): 90.00 100.00 90.00
Space group C2/m (No. 12)
Asymmetric unit:
Pm 0.2476 0.0000 0.2537 x4
Pm 0.2479 0.1652 0.7464 x8
Sm 0.0000 0.1668 0.0000 x4
Sm 0.0000 0.5000 0.0000 x2
Tm 0.0000 0.3333 0.5000 x4
Th 0.0000 0.0000 0.5000 x2

***

Record 4
Entry from the Alexandria database: a relaxed PmSm2Tm5Th crystal (PBE).

The formation energy is 28.2 kJ/mol of atoms. The value obtained for the density of states at the Fermi level is 42.4 states/eV per cell. For the spin magnetization, the calculation gives 0.00 μB per formula unit.

a b c (Å): 8.6754 8.6754 15.1926
angles (deg): 90.00 90.00 90.00
Space group I4/mcm (No. 140)
Asymmetric unit:
Pm 0.0000 0.5000 0.2500 x4
Sm 0.1154 0.3846 0.0000 x8
Tm 0.0000 0.0000 0.0000 x4
Tm 0.2115 0.2885 0.3623 x16
Th 0.0000 0.0000 0.2500 x4

***

Record 5
Entry from the Alexandria database: a relaxed Pm2Sm4TmTh crystal (PBE).

The formation energy is 13.4 kJ/mol of atoms. The value obtained for the density of states at the Fermi level is 16.2 states/eV per cell. For the spin magnetization, the calculation gives 0.00 μB per formula unit.

a b c (Å): 6.0410 6.0407 7.2942
angles (deg): 90.00 90.06 90.00
Space group P2/m (No. 10)
Asymmetric unit:
Pm 0.0000 0.0000 0.0000 x1
Pm 0.5000 0.5000 0.5000 x1
Sm 0.9997 0.5000 0.2480 x2
Sm 0.4999 0.0000 0.2477 x2
Tm 0.0000 0.0000 0.5000 x1
Th 0.5000 0.5000 0.0000 x1

***

Record 6
Entry from the Alexandria database: a relaxed PmSm6Tm3Th2 crystal (PBE).

The formation energy is 4.1 kJ/mol of atoms. The value obtained for the density of states at the Fermi level is 34.4 states/eV per cell. For the spin magnetization, the calculation gives 0.00 μB per formula unit.

a b c (Å): 6.2215 10.7613 11.8960
angles (deg): 90.00 100.03 90.00
Space group C2/m (No. 12)
Asymmetric unit:
Pm 0.0000 0.0000 0.0000 x2
Sm 0.2462 0.5000 0.2505 x4
Sm 0.2474 0.3313 0.7497 x8
Tm 0.0000 0.1667 0.5000 x4
Tm 0.0000 0.5000 0.5000 x2
Th 0.0000 0.3333 0.0000 x4

***

Record 7
Entry from the Alexandria database: a relaxed PmSm2TmTh crystal (PBE).

The formation energy is 30.9 kJ/mol of atoms. The value obtained for the density of states at the Fermi level is 12.6 states/eV per cell. For the spin magnetization, the calculation gives 0.00 μB per formula unit.

a b c (Å): 8.6081 6.4012 6.3603
angles (deg): 90.00 97.15 90.00
Space group P2/c (No. 13)
Asymmetric unit:
Pm 0.0000 0.0000 0.0000 x2
Sm 0.3147 0.3067 0.2110 x4
Tm 0.5000 0.1757 0.7500 x2
Th 0.0000 0.4518 0.7500 x2

***

Record 8
Entry from the Alexandria database: a relaxed Pm3SmTm6Th2 crystal (PBE).

The formation energy is 2.3 kJ/mol of atoms. The value obtained for the density of states at the Fermi level is 30.5 states/eV per cell. For the spin magnetization, the calculation gives 0.00 μB per formula unit.

a b c (Å): 6.1791 10.6992 11.6650
angles (deg): 90.00 100.20 90.00
Space group C2/m (No. 12)
Asymmetric unit:
Pm 0.0000 0.0000 0.0000 x2
Pm 0.0000 0.3340 0.0000 x4
Sm 0.0000 0.5000 0.5000 x2
Tm 0.2441 0.0000 0.7464 x4
Tm 0.2488 0.1690 0.2539 x8
Th 0.0000 0.1667 0.5000 x4

***

Record 9
Entry from the Alexandria database: a relaxed Pm3Sm6Tm2Th crystal (PBE).

The formation energy is 2.6 kJ/mol of atoms. The value obtained for the density of states at the Fermi level is 33.0 states/eV per cell. For the spin magnetization, the calculation gives 0.00 μB per formula unit.

a b c (Å): 6.2453 10.7993 12.0021
angles (deg): 90.00 99.98 90.00
Space group C2/m (No. 12)
Asymmetric unit:
Pm 0.0000 0.0000 0.0000 x2
Pm 0.0000 0.3331 0.0000 x4
Sm 0.2477 0.3348 0.7458 x8
Sm 0.2479 0.5000 0.2542 x4
Tm 0.0000 0.1666 0.5000 x4
Th 0.0000 0.5000 0.5000 x2

***

Record 10
Entry from the Alexandria database: a relaxed Pm2SmTmTh crystal (PBE).

The formation energy is 30.5 kJ/mol of atoms. The value obtained for the density of states at the Fermi level is 12.6 states/eV per cell. For the spin magnetization, the calculation gives 0.00 μB per formula unit.

a b c (Å): 8.6185 6.3886 6.3733
angles (deg): 90.00 96.61 90.00
Space group P2/c (No. 13)
Asymmetric unit:
Pm 0.1859 0.1964 0.2867 x4
Sm 0.5000 0.5000 0.0000 x2
Tm 0.0000 0.3221 0.7500 x2
Th 0.5000 0.0477 0.7500 x2

***

Record 11
Entry from the Alexandria database: a relaxed PmSm6Tm2Th3 crystal (PBE).

The formation energy is 3.4 kJ/mol of atoms. The value obtained for the density of states at the Fermi level is 37.8 states/eV per cell. For the spin magnetization, the calculation gives 0.00 μB per formula unit.

a b c (Å): 6.2278 10.7764 11.9312
angles (deg): 90.00 100.03 90.00
Space group C2/m (No. 12)
Asymmetric unit:
Pm 0.0000 0.0000 0.0000 x2
Sm 0.2484 0.3329 0.7464 x8
Sm 0.2499 0.0000 0.7466 x4
Tm 0.0000 0.3332 0.0000 x4
Th 0.0000 0.1664 0.5000 x4
Th 0.0000 0.5000 0.5000 x2

***

Record 12
Entry from the Alexandria database: a relaxed Pm2SmY6Th crystal (PBE).

The formation energy is 14.3 kJ/mol of atoms. The value obtained for the density of states at the Fermi level is 64.8 states/eV per cell. For the spin magnetization, the calculation gives 0.00 μB per formula unit.

a b c (Å): 9.1614 14.9308 9.8881
angles (deg): 90.00 100.25 90.00
Space group C2/c (No. 15)
Asymmetric unit:
Pm 0.2375 0.0467 0.0469 x8
Sm 0.0000 0.4039 0.2500 x4
Y 0.0714 0.1860 0.4432 x8
Y 0.0959 0.3965 0.6180 x8
Y 0.2002 0.2220 0.8172 x8
Th 0.0000 0.0183 0.7500 x4

***

Record 13
Entry from the Alexandria database: a relaxed Pm5SmY2Th crystal (PBE).

The formation energy is 15.0 kJ/mol of atoms. The value obtained for the density of states at the Fermi level is 53.9 states/eV per cell. For the spin magnetization, the calculation gives 0.00 μB per formula unit.

a b c (Å): 5.7077 20.4181 10.5920
angles (deg): 90.00 90.00 90.00
Space group Cmc2_1 (No. 36)
Asymmetric unit:
Pm 0.0000 0.0168 0.0000 x4
Pm 0.0000 0.2781 0.2894 x4
Pm 0.0000 0.2936 0.6806 x4
Pm 0.0000 0.3909 0.0046 x4
Pm 0.0000 0.4779 0.7198 x4
Sm 0.0000 0.4093 0.4286 x4
Y 0.0000 0.1127 0.7117 x4
Y 0.0000 0.1166 0.2973 x4
Th 0.0000 0.2012 0.9888 x4

***

Record 14
Entry from the Alexandria database: a relaxed PmSmY3Th crystal (PBE).

The formation energy is 12.4 kJ/mol of atoms. The value obtained for the density of states at the Fermi level is 45.5 states/eV per cell. For the spin magnetization, the calculation gives 0.00 μB per formula unit.

a b c (Å): 5.9377 11.2009 11.8765
angles (deg): 90.00 90.00 90.00
Space group Cmcm (No. 63)
Asymmetric unit:
Pm 0.0000 0.0014 0.2500 x4
Sm 0.0000 0.3317 0.2500 x4
Y 0.0000 0.1746 0.5006 x8
Y 0.0000 0.3336 0.7500 x4
Th 0.0000 0.5000 0.0000 x4

***

Record 15
Entry from the Alexandria database: a relaxed PmSm6Y2Th3 crystal (PBE).

The formation energy is 2.9 kJ/mol of atoms. The value obtained for the density of states at the Fermi level is 38.1 states/eV per cell. For the spin magnetization, the calculation gives 0.00 μB per formula unit.

a b c (Å): 6.2511 10.8172 11.9765
angles (deg): 90.00 100.04 90.00
Space group C2/m (No. 12)
Asymmetric unit:
Pm 0.0000 0.0000 0.0000 x2
Sm 0.2486 0.0000 0.7448 x4
Sm 0.2486 0.3334 0.7447 x8
Y 0.0000 0.3332 0.0000 x4
Th 0.0000 0.1664 0.5000 x4
Th 0.0000 0.5000 0.5000 x2

***

Record 16
Entry from the Alexandria database: a relaxed Pm6Sm3Y2Th crystal (PBE).

The formation energy is 2.6 kJ/mol of atoms. The value obtained for the density of states at the Fermi level is 34.3 states/eV per cell. For the spin magnetization, the calculation gives 0.00 μB per formula unit.

a b c (Å): 6.2839 10.8638 12.0528
angles (deg): 90.00 99.99 90.00
Space group C2/m (No. 12)
Asymmetric unit:
Pm 0.2462 0.0000 0.2521 x4
Pm 0.2478 0.1647 0.7479 x8
Sm 0.0000 0.1668 0.0000 x4
Sm 0.0000 0.5000 0.0000 x2
Y 0.0000 0.3334 0.5000 x4
Th 0.0000 0.0000 0.5000 x2

***

Record 17
Entry from the Alexandria database: a relaxed Pm2SmYTh crystal (PBE).

The formation energy is 29.0 kJ/mol of atoms. The value obtained for the density of states at the Fermi level is 13.1 states/eV per cell. For the spin magnetization, the calculation gives 0.00 μB per formula unit.

a b c (Å): 8.5784 6.4559 6.4019
angles (deg): 90.00 96.67 90.00
Space group P2/c (No. 13)
Asymmetric unit:
Pm 0.1876 0.1956 0.2879 x4
Sm 0.5000 0.5000 0.0000 x2
Y 0.0000 0.3225 0.7500 x2
Th 0.5000 0.0507 0.7500 x2

***

Record 18
Entry from the Alexandria database: a relaxed Pm2Sm2Y6Th crystal (PBE).

The formation energy is 14.5 kJ/mol of atoms. The value obtained for the density of states at the Fermi level is 32.8 states/eV per cell. For the spin magnetization, the calculation gives 0.00 μB per formula unit.

a b c (Å): 5.7566 12.1345 10.5612
angles (deg): 90.00 90.00 90.00
Space group Cmmm (No. 65)
Asymmetric unit:
Pm 0.0000 0.2044 0.0000 x4
Sm 0.0000 0.1331 0.5000 x4
Y 0.0000 0.0000 0.2079 x4
Y 0.0000 0.3502 0.2947 x8
Th 0.0000 0.5000 0.0000 x2

***

Record 19
Entry from the Alexandria database: a relaxed Pm6Sm2Y3Th crystal (PBE).

The formation energy is 2.9 kJ/mol of atoms. The value obtained for the density of states at the Fermi level is 34.4 states/eV per cell. For the spin magnetization, the calculation gives 0.00 μB per formula unit.

a b c (Å): 6.2831 10.8688 12.0032
angles (deg): 90.00 100.01 90.00
Space group C2/m (No. 12)
Asymmetric unit:
Pm 0.2458 0.0000 0.2503 x4
Pm 0.2484 0.1648 0.7497 x8
Sm 0.0000 0.3335 0.5000 x4
Y 0.0000 0.1669 0.0000 x4
Y 0.0000 0.5000 0.0000 x2
Th 0.0000 0.0000 0.5000 x2

***

Record 20
Entry from the Alexandria database: a relaxed Pm3SmY6Th2 crystal (PBE).

The formation energy is 2.1 kJ/mol of atoms. The value obtained for the density of states at the Fermi level is 32.6 states/eV per cell. For the spin magnetization, the calculation gives 0.00 μB per formula unit.

a b c (Å): 6.2476 10.8152 11.8300
angles (deg): 90.00 100.15 90.00
Space group C2/m (No. 12)
Asymmetric unit:
Pm 0.0000 0.0000 0.0000 x2
Pm 0.0000 0.3338 0.0000 x4
Sm 0.0000 0.5000 0.5000 x2
Y 0.2440 0.0000 0.7460 x4
Y 0.2489 0.1690 0.2543 x8
Th 0.0000 0.1667 0.5000 x4